A plane-wave DFT calculation with GGA-PBE was carried out for a relaxed structure of Ac2AlSi4Pd3.

Summary:
The energy relative to the elements, uncorrected is -7.9 eV/f.u. The space group is P-4m2, No. 115. The calculated volume is 19.632 Å³ per atom.

Cell lengths 4.317, 4.317, 10.535 Å; angles 90.00, 90.00, 90.00 degrees
Fractional positions:
Ac: 0.500 0.000 0.243
Ac: 0.000 0.500 0.757
Al: 0.500 0.500 0.500
Si: 0.500 0.500 0.000
Si: 0.000 0.000 0.000
Si: 0.500 0.000 0.638
Si: 0.000 0.500 0.362
Pd: 0.000 0.000 0.500
Pd: 0.500 0.000 0.880
Pd: 0.000 0.500 0.120

---

A plane-wave DFT calculation with GGA-PBE was carried out for a relaxed structure of AcAl2SiPd4.

Summary:
The energy relative to the elements, uncorrected is -6.0 eV/f.u. The space group is R-3m, No. 166. The calculated volume is 18.517 Å³ per atom.

Cell lengths 4.314, 4.314, 9.525 Å; angles 76.91, 76.91, 60.00 degrees
Fractional positions:
Ac: 0.000 0.000 0.000
Al: 0.763 0.763 0.710
Al: 0.237 0.237 0.290
Si: 0.500 0.500 0.500
Pd: 0.411 0.411 0.767
Pd: 0.861 0.861 0.417
Pd: 0.139 0.139 0.583
Pd: 0.589 0.589 0.233

---

A plane-wave DFT calculation with GGA-PBE was carried out for a relaxed structure of AcSmAlPd.

Summary:
The space group is F-43m, No. 216. The calculated volume is 27.050 Å³ per atom. The value obtained for the formation energy is -0.4179 eV/atom.

Cell lengths 5.349, 5.349, 5.349 Å; angles 60.00, 60.00, 60.00 degrees
Fractional positions:
Ac: 0.750 0.750 0.750
Pd: 0.000 0.000 0.000
Sm: 0.250 0.250 0.250
Al: 0.500 0.500 0.500

---

A plane-wave DFT calculation with GGA-PBE was carried out for a relaxed structure of Ac2SmAl4Pd3.

Summary:
The space group is P-4m2, No. 115. The calculated volume is 23.199 Å³ per atom. The value obtained for the formation energy is -0.6308 eV/atom.

Cell lengths 4.439, 4.439, 11.774 Å; angles 90.00, 90.00, 90.00 degrees
Fractional positions:
Ac: 0.500 0.000 0.228
Ac: 0.000 0.500 0.772
Sm: 0.500 0.500 0.500
Al: 0.500 0.500 0.000
Al: 0.000 0.000 0.000
Al: 0.500 0.000 0.671
Al: 0.000 0.500 0.329
Pd: 0.000 0.000 0.500
Pd: 0.500 0.000 0.886
Pd: 0.000 0.500 0.114

---

| no. | calculated total energy (eV/cell) |
| --- | --- |
| 1 | -57.1 |
| 2 | -43.8 |
| 3 | -19.4 |
| 4 | -49.8 |